Entry from Alexandria via LeMat-Bulk: TlSiTePd2 after structural relaxation (PBE).

Properties
Calculated total energy in eV/atom: -4.07
E_form (uncorrected) in meV per atom: 196

Structure (CIF):
```
data_TlSiTePd2
_cell_length_a 4.672
_cell_length_b 5.392
_cell_length_c 4.672
_cell_angle_alpha 90.00
_cell_angle_beta 90.00
_cell_angle_gamma 90.00
_space_group_name_H-M_alt 'P 1'
_space_group_IT_number 1
loop_
_space_group_symop_operation_xyz
'x,y,z'
loop_
_atom_site_label
_atom_site_fract_x
_atom_site_fract_y
_atom_site_fract_z
_atom_site_occupancy
Tl1 0.000 0.500 0.000 1
Te1 0.500 0.500 0.500 1
Si1 0.000 0.000 0.000 1
Pd1 0.000 0.000 0.500 1
Pd2 0.500 0.000 0.000 1
```